1.
Nd2BrNCl after structural relaxation. Source: OQMD via LeMat-Bulk, functional PBE.

Summary:
**Space group**: P3m1, No. 156
**Electronic total energy**: -6.021 eV/atom

abc: 3.792 3.792 9.887
angles: 90.00 90.00 120.00
Sites, in units of the cell vectors:
Cl1 0.667 0.333 0.673
Br1 0.000 0.000 0.339
Nd1 0.667 0.333 0.135
Nd2 0.000 0.000 0.858
N1 0.333 0.667 0.995

***

2.
TbTlFeSe3 after structural relaxation. Source: OQMD via LeMat-Bulk, functional PBE.

Summary:
**Space group**: Pnma, No. 62
**Electronic total energy**: -5.181 eV/atom

abc: 11.483 4.274 12.417
angles: 90.00 90.00 90.00
Site moments in Bohr magnetons follow the coordinates.
Sites, in units of the cell vectors:
Se1 0.721 0.500 0.297  0.14
Tb1 0.018 0.000 0.676  0.03
Tb2 0.518 0.000 0.824  0.03
Tb3 0.982 0.500 0.324  0.03
Fe1 0.250 0.500 0.800  3.21
Se2 0.898 0.500 0.559  0.09
Se3 0.221 0.500 0.203  0.14
Se4 0.457 0.000 0.333  0.12
Se5 0.543 0.500 0.667  0.12
Se6 0.043 0.500 0.833  0.12
Tb4 0.482 0.500 0.176  0.03
Tl1 0.824 0.500 0.996  0.02
Se7 0.398 0.500 0.941  0.09
Fe2 0.250 0.000 0.300  3.21
Se8 0.957 0.000 0.167  0.12
Se9 0.602 0.000 0.059  0.09
Tl2 0.176 0.000 0.004  0.02
Se10 0.279 0.000 0.703  0.14
Fe3 0.750 0.000 0.200  3.21
Se11 0.102 0.000 0.441  0.09
Se12 0.779 0.000 0.797  0.14
Tl3 0.324 0.500 0.504  0.02
Tl4 0.676 0.000 0.496  0.02
Fe4 0.750 0.500 0.700  3.21

***

3.
YFeCuW after structural relaxation. Source: OQMD via LeMat-Bulk, functional PBE.

Summary:
**Space group**: F-43m, No. 216
**E_form**: 0.3898 eV/atom
**E above lowest polymorph**: 0.0 meV/atom

abc: 4.515 4.515 4.515
angles: 60.00 60.00 60.00
Sites, in units of the cell vectors:
Y1 0.000 0.000 0.000
W1 0.500 0.500 0.500
Cu1 0.750 0.750 0.750
Fe1 0.250 0.250 0.250

***

4.
La2SbPPd2 after structural relaxation. Source: OQMD via LeMat-Bulk, functional PBE.

Summary:
**Space group**: P3m1, No. 156
**Electronic total energy**: -6.141 eV/atom

abc: 4.482 4.482 8.117
angles: 90.00 90.00 120.00
Sites, in units of the cell vectors:
La1 0.667 0.333 0.264
Sb1 0.333 0.667 0.998
La2 0.667 0.333 0.736
P1 0.000 0.000 0.498
Pd1 0.000 0.000 0.003
Pd2 0.333 0.667 0.502

***

Number 1: total magnetization 0.01 Bohr magnetons per cell, calculated volume 24.62 A^3/atom. Number 2: total magnetization 15.99 Bohr magnetons per cell, calculated volume 25.39 A^3/atom. Number 3: total magnetization 0.52 Bohr magnetons per cell, calculated volume 16.27 A^3/atom. Number 4: total magnetization 0.03 Bohr magnetons per cell, calculated volume 23.53 A^3/atom.